! meta-GGA SCAN ScHg4, single point on PBEsol structure; values from VASP
! Energy of formation, eV/atom: -0.19
! Space group: I4/m, No. 87
&SYSTEM
  ibrav = 0, nat = 5, ntyp = 2
/
ATOMIC_SPECIES
Sc 44.96 Sc.upf
Hg 200.59 Hg.upf
CELL_PARAMETERS angstrom
-1.5890 1.7582 3.8634
-4.9956 -1.4388 1.2586
0.9202 -2.9379 4.3740
ATOMIC_POSITIONS crystal
Sc 0.0000 0.0000 0.0000
Hg 0.5946 0.6084 0.2023
Hg 0.7969 0.7977 0.6084
Hg 0.4054 0.3916 0.7977
Hg 0.2031 0.2023 0.3916